(1)
A geometry-optimized Gd3FeBi structure, computed with PBE.

Summary:
Electronic total energy = -56.0 eV per cell
Crystal system = cubic
Calculated density = 8.85 g/cm3
M_tot = 21.7 μB/f.u.
Formation enthalpy at 0 K = -0.28 eV/atom

a = 5.170 Å, b = 5.170 Å, c = 5.170 Å
α = 90.00°, β = 90.00°, γ = 90.00°
Space group Pm-3m (No. 221)
Symmetry-distinct sites (fractional):
Gd (0.000, 0.000, 0.500)
Fe (0.000, 0.000, 0.000)
Bi (0.500, 0.500, 0.500)


(2)
A geometry-optimized Tb12Ni6C structure, computed with PBE.

Summary:
Electronic total energy = -310.4 eV per cell
Crystal system = trigonal
Calculated density = 8.03 g/cm3
M_tot = 0.0 μB/f.u.
Formation enthalpy at 0 K = -0.21 eV/atom

a = 11.7693 Å, b = 11.7693 Å, c = 11.7398 Å
α = 90.00°, β = 90.00°, γ = 120.00°
Space group R-3 (No. 148, hexagonal axes)
Symmetry-distinct sites (fractional):
Tb (0.0203, 0.2095, 0.3918)
Tb (0.0326, 0.1917, 0.8845)
Ni (0.0431, 0.2671, 0.6496)
C (0.0000, 0.0000, 0.0000)


(3)
A geometry-optimized Ho4MgAg structure, computed with PBE.

Summary:
Electronic total energy = -21.4 eV per cell
Crystal system = tetragonal
Calculated density = 7.02 g/cm3
M_tot = 0.0 μB/f.u.
Formation enthalpy at 0 K = 0.23 eV/atom

a = 5.017 Å, b = 5.017 Å, c = 7.444 Å
α = 90.00°, β = 90.00°, γ = 90.00°
Space group P4/mmm (No. 123)
Symmetry-distinct sites (fractional):
Ho (0.000, 0.500, 0.233)
Mg (0.000, 0.000, 0.500)
Ag (0.500, 0.500, 0.000)